# ScTlTe3Pd PBE relaxed
# Magnetization: 0.00 μB per atom
# Density: 6.91 Mg/m³
# V: 29.6 Å³ per atom
# Crystal system: monoclinic
# Electronic total energy: -4.5395 eV per atom
data_ScTlTe3Pd
_space_group_name_H-M_alt 'P 1 21/m 1'
_space_group_IT_number 11
_cell_length_a 8.815
_cell_length_b 4.084
_cell_length_c 10.763
_cell_angle_alpha 90.00
_cell_angle_beta 113.72
_cell_angle_gamma 90.00
loop_
_space_group_symop_operation_xyz
'x,y,z'
'-x,-y,-z'
'-x,y+1/2,-z'
'x,-y+1/2,z'
loop_
_atom_site_label
_atom_site_type_symbol
_atom_site_fract_x
_atom_site_fract_y
_atom_site_fract_z
Sc1 Sc 0.038 0.250 0.345
Tl1 Tl 0.470 0.250 0.208
Te1 Te 0.191 0.750 0.954
Te2 Te 0.197 0.250 0.638
Te3 Te 0.281 0.750 0.353
Pd1 Pd 0.020 0.750 0.112